# 1
# NdGa4Pd4 | Alexandria via LeMat-Bulk | PBE | optimized geometry
data_NdGa4Pd4
_cell_length_a 6.146
_cell_length_b 6.146
_cell_length_c 8.608
_cell_angle_alpha 90.00
_cell_angle_beta 90.00
_cell_angle_gamma 90.00
_symmetry_space_group_name_H-M 'P 1'
_symmetry_Int_Tables_number 1
_symmetry_space_group_name_Hall 'P 1'
loop_
_atom_site_label
_atom_site_fract_x
_atom_site_fract_y
_atom_site_fract_z
_atom_site_occupancy
Nd1 0.000 0.000 0.000 1
Nd2 0.500 0.500 0.500 1
Ga1 0.500 0.792 0.818 1
Ga2 0.500 0.208 0.818 1
Ga3 0.792 0.500 0.182 1
Ga4 0.208 0.500 0.182 1
Ga5 0.292 0.000 0.318 1
Ga6 0.708 0.000 0.318 1
Ga7 0.000 0.292 0.682 1
Ga8 0.000 0.708 0.682 1
Pd1 0.230 0.500 0.886 1
Pd2 0.770 0.500 0.886 1
Pd3 0.500 0.770 0.114 1
Pd4 0.500 0.230 0.114 1
Pd5 0.000 0.730 0.386 1
Pd6 0.000 0.270 0.386 1
Pd7 0.270 0.000 0.614 1
Pd8 0.730 0.000 0.614 1
# Space group = No. 137

# 2
# NdGaPd | Alexandria via LeMat-Bulk | PBE | optimized geometry
data_NdGaPd
_cell_length_a 4.570
_cell_length_b 7.202
_cell_length_c 7.733
_cell_angle_alpha 90.00
_cell_angle_beta 90.00
_cell_angle_gamma 90.00
_symmetry_space_group_name_H-M 'P 1'
_symmetry_Int_Tables_number 1
_symmetry_space_group_name_Hall 'P 1'
loop_
_atom_site_label
_atom_site_fract_x
_atom_site_fract_y
_atom_site_fract_z
_atom_site_occupancy
Nd1 0.750 0.521 0.198 1
Nd2 0.250 0.979 0.698 1
Nd3 0.750 0.021 0.302 1
Nd4 0.250 0.479 0.802 1
Ga1 0.250 0.325 0.422 1
Ga2 0.250 0.825 0.078 1
Ga3 0.750 0.175 0.922 1
Ga4 0.750 0.675 0.578 1
Pd1 0.250 0.210 0.094 1
Pd2 0.750 0.790 0.906 1
Pd3 0.750 0.290 0.594 1
Pd4 0.250 0.710 0.406 1
# Space group = No. 62

# 3
# NdGa2Pd7 | Alexandria via LeMat-Bulk | PBE | optimized geometry
data_NdGa2Pd7
_cell_length_a 4.153
_cell_length_b 4.153
_cell_length_c 10.558
_cell_angle_alpha 101.34
_cell_angle_beta 101.34
_cell_angle_gamma 90.00
_symmetry_space_group_name_H-M 'P 1'
_symmetry_Int_Tables_number 1
_symmetry_space_group_name_Hall 'P 1'
loop_
_atom_site_label
_atom_site_fract_x
_atom_site_fract_y
_atom_site_fract_z
_atom_site_occupancy
Nd1 0.000 0.000 0.000 1
Ga1 0.677 0.677 0.354 1
Ga2 0.323 0.323 0.646 1
Pd1 0.105 0.605 0.210 1
Pd2 0.395 0.895 0.790 1
Pd3 0.605 0.105 0.210 1
Pd4 0.500 0.500 0.000 1
Pd5 0.750 0.250 0.500 1
Pd6 0.895 0.395 0.790 1
Pd7 0.250 0.750 0.500 1
# Distance to the lowest polymorph of the same formula = 0.0000 eV/atom
# Space group = No. 139

# 4
# Nd12Ga5Pd3 | Alexandria via LeMat-Bulk | PBE | optimized geometry
data_Nd12Ga5Pd3
_cell_length_a 15.037
_cell_length_b 15.037
_cell_length_c 15.037
_cell_angle_alpha 109.47
_cell_angle_beta 109.47
_cell_angle_gamma 109.47
_symmetry_space_group_name_H-M 'P 1'
_symmetry_Int_Tables_number 1
_symmetry_space_group_name_Hall 'P 1'
loop_
_atom_site_label
_atom_site_fract_x
_atom_site_fract_y
_atom_site_fract_z
_atom_site_occupancy
Pd1 0.750 0.375 0.125 1
Pd2 0.875 0.750 0.125 1
Pd3 0.375 0.750 0.625 1
Pd4 0.250 0.125 0.375 1
Pd5 0.875 0.125 0.250 1
Pd6 0.375 0.625 0.250 1
Pd7 0.625 0.375 0.750 1
Pd8 0.125 0.875 0.750 1
Pd9 0.750 0.875 0.625 1
Pd10 0.625 0.250 0.375 1
Pd11 0.125 0.250 0.875 1
Pd12 0.250 0.625 0.875 1
Ga1 0.125 0.375 0.250 1
Ga2 0.000 0.500 0.000 1
Ga3 0.000 0.000 0.000 1
Ga4 0.375 0.250 0.125 1
Ga5 0.500 0.000 0.500 1
Ga6 0.500 0.500 0.000 1
Ga7 0.125 0.750 0.375 1
Ga8 0.750 0.125 0.875 1
Ga9 0.750 0.625 0.375 1
Ga10 0.375 0.125 0.750 1
Ga11 0.625 0.875 0.250 1
Ga12 0.500 0.500 0.500 1
Ga13 0.500 0.000 0.000 1
Ga14 0.000 0.000 0.500 1
Ga15 0.250 0.375 0.625 1
Ga16 0.250 0.875 0.125 1
Ga17 0.000 0.500 0.500 1
Ga18 0.875 0.250 0.625 1
Ga19 0.625 0.750 0.875 1
Ga20 0.875 0.625 0.750 1
Nd1 0.725 0.129 0.056 1
Nd2 0.330 0.556 0.427 1
Nd3 0.944 0.371 0.275 1
Nd4 0.556 0.225 0.129 1
Nd5 0.596 0.725 0.670 1
Nd6 0.944 0.573 0.170 1
Nd7 0.330 0.775 0.404 1
Nd8 0.073 0.904 0.129 1
Nd9 0.573 0.944 0.670 1
Nd10 0.725 0.596 0.170 1
Nd11 0.775 0.444 0.371 1
Nd12 0.830 0.927 0.056 1
Nd13 0.129 0.725 0.556 1
Nd14 0.371 0.427 0.096 1
Nd15 0.096 0.927 0.371 1
Nd16 0.404 0.129 0.573 1
Nd17 0.096 0.170 0.225 1
Nd18 0.444 0.670 0.073 1
Nd19 0.830 0.904 0.275 1
Nd20 0.129 0.404 0.073 1
Nd21 0.371 0.944 0.775 1
Nd22 0.573 0.629 0.404 1
Nd23 0.927 0.830 0.556 1
Nd24 0.775 0.330 0.904 1
Nd25 0.427 0.371 0.596 1
Nd26 0.073 0.170 0.444 1
Nd27 0.225 0.670 0.096 1
Nd28 0.170 0.096 0.725 1
Nd29 0.629 0.056 0.225 1
Nd30 0.871 0.596 0.927 1
Nd31 0.556 0.330 0.927 1
Nd32 0.596 0.871 0.427 1
Nd33 0.904 0.830 0.775 1
Nd34 0.904 0.073 0.629 1
Nd35 0.871 0.275 0.444 1
Nd36 0.170 0.073 0.944 1
Nd37 0.629 0.573 0.904 1
Nd38 0.427 0.056 0.330 1
Nd39 0.275 0.404 0.830 1
Nd40 0.225 0.556 0.629 1
Nd41 0.927 0.096 0.871 1
Nd42 0.670 0.225 0.596 1
Nd43 0.444 0.775 0.871 1
Nd44 0.056 0.427 0.830 1
Nd45 0.404 0.275 0.330 1
Nd46 0.056 0.629 0.725 1
Nd47 0.670 0.444 0.573 1
Nd48 0.275 0.871 0.944 1
# Space group = No. 230

# 5
# Nd4GaPd3 | Alexandria via LeMat-Bulk | PBE | optimized geometry
data_Nd4GaPd3
_cell_length_a 3.939
_cell_length_b 4.553
_cell_length_c 11.178
_cell_angle_alpha 90.00
_cell_angle_beta 90.00
_cell_angle_gamma 90.00
_symmetry_space_group_name_H-M 'P 1'
_symmetry_Int_Tables_number 1
_symmetry_space_group_name_Hall 'P 1'
loop_
_atom_site_label
_atom_site_fract_x
_atom_site_fract_y
_atom_site_fract_z
_atom_site_occupancy
Nd1 0.500 0.500 0.366 1
Nd2 0.000 0.500 0.857 1
Nd3 0.000 0.000 0.141 1
Nd4 0.500 0.000 0.635 1
Ga1 0.500 0.500 0.076 1
Pd1 0.000 0.500 0.585 1
Pd2 0.000 0.000 0.419 1
Pd3 0.500 0.000 0.921 1
# Space group = No. 25

# 6
# Nd2Ga3Pd | Alexandria via LeMat-Bulk | PBE | optimized geometry
data_Nd2Ga3Pd
_cell_length_a 4.534
_cell_length_b 5.748
_cell_length_c 5.902
_cell_angle_alpha 79.56
_cell_angle_beta 67.41
_cell_angle_gamma 66.77
_symmetry_space_group_name_H-M 'P 1'
_symmetry_Int_Tables_number 1
_symmetry_space_group_name_Hall 'P 1'
loop_
_atom_site_label
_atom_site_fract_x
_atom_site_fract_y
_atom_site_fract_z
_atom_site_occupancy
Nd1 0.542 0.212 0.704 1
Nd2 0.454 0.793 0.299 1
Ga1 0.841 0.610 0.708 1
Ga2 0.834 0.224 0.107 1
Ga3 0.162 0.774 0.901 1
Pd1 0.166 0.388 0.281 1
# Distance to the lowest polymorph of the same formula = 0.0000 eV/atom
# Space group = No. 8

# 7
# NdGa2Pd | Alexandria via LeMat-Bulk | PBE | optimized geometry
data_NdGa2Pd
_cell_length_a 5.683
_cell_length_b 6.782
_cell_length_c 8.363
_cell_angle_alpha 90.00
_cell_angle_beta 90.00
_cell_angle_gamma 90.00
_symmetry_space_group_name_H-M 'P 1'
_symmetry_Int_Tables_number 1
_symmetry_space_group_name_Hall 'P 1'
loop_
_atom_site_label
_atom_site_fract_x
_atom_site_fract_y
_atom_site_fract_z
_atom_site_occupancy
Nd1 0.369 0.250 0.042 1
Nd2 0.869 0.750 0.458 1
Nd3 0.631 0.750 0.958 1
Nd4 0.131 0.250 0.542 1
Ga1 0.881 0.055 0.186 1
Ga2 0.381 0.945 0.314 1
Ga3 0.119 0.555 0.814 1
Ga4 0.619 0.445 0.686 1
Ga5 0.119 0.945 0.814 1
Ga6 0.619 0.055 0.686 1
Ga7 0.881 0.445 0.186 1
Ga8 0.381 0.555 0.314 1
Pd1 0.638 0.250 0.407 1
Pd2 0.138 0.750 0.093 1
Pd3 0.362 0.750 0.593 1
Pd4 0.862 0.250 0.907 1
# Space group = No. 62

# 8
# Nd2GaPd3 | Alexandria via LeMat-Bulk | PBE | optimized geometry
data_Nd2GaPd3
_cell_length_a 4.517
_cell_length_b 4.517
_cell_length_c 14.896
_cell_angle_alpha 90.00
_cell_angle_beta 90.00
_cell_angle_gamma 120.00
_symmetry_space_group_name_H-M 'P 1'
_symmetry_Int_Tables_number 1
_symmetry_space_group_name_Hall 'P 1'
loop_
_atom_site_label
_atom_site_fract_x
_atom_site_fract_y
_atom_site_fract_z
_atom_site_occupancy
Nd1 0.000 0.000 0.623 1
Nd2 0.000 0.000 0.377 1
Nd3 0.000 0.000 0.123 1
Nd4 0.000 0.000 0.877 1
Ga1 0.667 0.333 0.750 1
Ga2 0.333 0.667 0.250 1
Pd1 0.667 0.333 0.250 1
Pd2 0.333 0.667 0.750 1
Pd3 0.667 0.333 0.519 1
Pd4 0.333 0.667 0.481 1
Pd5 0.333 0.667 0.019 1
Pd6 0.667 0.333 0.981 1
# Distance to the lowest polymorph of the same formula = 0.0305 eV/atom
# Space group = No. 194

Table of formation enthalpy at 0 K (meV/atom), in record order: -665 -837 -618 -44 -738 -744 -709 -746
Table of E_tot (eV/cell), in record order: -87.26 -62.00 -53.35 -355.26 -43.58 -28.27 -75.40 -65.24